1.
Ho3Al7Ir4 | PBE-GGA | relaxed

a = 7.9296 Å, b = 7.9296 Å, c = 9.4456 Å
α = 123.29°, β = 123.29°, γ = 31.13°
Fractional coordinates of all 14 atoms:
Ho 0.0000 0.0000 0.0000
Ho 0.3056 0.3056 0.2985
Ho 0.6944 0.6944 0.7015
Al 0.0000 0.0000 0.5000
Al 0.1573 0.1573 0.4205
Al 0.3157 0.3157 0.9767
Al 0.4947 0.4947 0.7069
Al 0.5053 0.5053 0.2931
Al 0.6843 0.6843 0.0233
Al 0.8427 0.8427 0.5795
Ir 0.1092 0.1092 0.8301
Ir 0.3365 0.3365 0.7201
Ir 0.6635 0.6635 0.2799
Ir 0.8908 0.8908 0.1699

Results
SG: No. 12
N(E_F) (states/eV/f.u.): 6.23
Total DFT energy (no corrections) (eV/f.u.): -87.14
Volume (A^3/atom): 18.024

=====

2.
Ho4Al12Ir | PBE-GGA | relaxed

a = 7.4636 Å, b = 7.4636 Å, c = 7.4636 Å
α = 109.47°, β = 109.47°, γ = 109.47°
Fractional coordinates of all 17 atoms:
Ho 0.0000 0.0000 0.5000
Ho 0.0000 0.5000 0.0000
Ho 0.5000 0.0000 0.0000
Ho 0.5000 0.5000 0.5000
Al 0.0000 0.2886 0.2886
Al 0.0000 0.7114 0.7114
Al 0.2500 0.5000 0.7500
Al 0.2500 0.7500 0.5000
Al 0.2886 0.0000 0.2886
Al 0.2886 0.2886 0.0000
Al 0.5000 0.2500 0.7500
Al 0.5000 0.7500 0.2500
Al 0.7114 0.0000 0.7114
Al 0.7114 0.7114 0.0000
Al 0.7500 0.2500 0.5000
Al 0.7500 0.5000 0.2500
Ir 0.0000 0.0000 0.0000

Results
SG: No. 229
N(E_F) (states/eV/f.u.): 9.14
Total DFT energy (no corrections) (eV/f.u.): -81.32
Volume (A^3/atom): 18.827

=====

3.
HoAlIr | PBE-GGA | relaxed

a = 4.2990 Å, b = 4.2990 Å, c = 3.7685 Å
α = 90.00°, β = 90.00°, γ = 120.00°
Fractional coordinates of all 3 atoms:
Ho 0.0000 0.0000 0.0000
Al 0.3333 0.6667 0.5000
Ir 0.6667 0.3333 0.5000

Results
SG: No. 187
N(E_F) (states/eV/f.u.): 2.37
Total DFT energy (no corrections) (eV/f.u.): -19.46
Volume (A^3/atom): 20.105

=====

4.
Ho2AlIr3 | PBE-GGA | relaxed

a = 5.1293 Å, b = 5.1293 Å, c = 5.1293 Å
α = 65.90°, β = 65.90°, γ = 65.90°
Fractional coordinates of all 6 atoms:
Ho 0.1276 0.1276 0.1276
Ho 0.8724 0.8724 0.8724
Al 0.5000 0.5000 0.5000
Ir 0.0000 0.5000 0.5000
Ir 0.5000 0.0000 0.5000
Ir 0.5000 0.5000 0.0000

Results
SG: No. 166
N(E_F) (states/eV/f.u.): 2.68
Total DFT energy (no corrections) (eV/f.u.): -45.11
Volume (A^3/atom): 17.935

=====

5.
Ho4Al16Ir3 | PBE-GGA | relaxed

a = 6.1315 Å, b = 6.1315 Å, c = 11.2408 Å
α = 90.00°, β = 90.00°, γ = 90.00°
Fractional coordinates of all 23 atoms:
Ho 0.0000 0.5000 0.1919
Ho 0.0000 0.5000 0.8081
Ho 0.5000 0.0000 0.1919
Ho 0.5000 0.0000 0.8081
Al 0.0000 0.0000 0.1938
Al 0.0000 0.0000 0.8062
Al 0.2159 0.2159 0.0000
Al 0.2159 0.7841 0.0000
Al 0.2511 0.2511 0.3809
Al 0.2511 0.2511 0.6191
Al 0.2511 0.7489 0.3809
Al 0.2511 0.7489 0.6191
Al 0.5000 0.5000 0.2209
Al 0.5000 0.5000 0.7791
Al 0.7489 0.2511 0.3809
Al 0.7489 0.2511 0.6191
Al 0.7489 0.7489 0.3809
Al 0.7489 0.7489 0.6191
Al 0.7841 0.2159 0.0000
Al 0.7841 0.7841 0.0000
Ir 0.0000 0.5000 0.5000
Ir 0.5000 0.0000 0.5000
Ir 0.5000 0.5000 0.0000

Results
SG: No. 123
N(E_F) (states/eV/f.u.): 3.46
Total DFT energy (no corrections) (eV/f.u.): -119.56
Volume (A^3/atom): 18.374

=====

6.
HoAlIr | PBE-GGA | relaxed

a = 6.0452 Å, b = 6.0452 Å, c = 6.0452 Å
α = 149.70°, β = 149.70°, γ = 43.39°
Fractional coordinates of all 3 atoms:
Ho 0.0000 0.0000 0.0000
Al 0.2909 0.2909 0.0000
Ir 0.6736 0.6736 0.0000

Results
SG: No. 107
N(E_F) (states/eV/f.u.): 1.50
Total DFT energy (no corrections) (eV/f.u.): -19.30
Volume (A^3/atom): 18.699

=====

7.
Ho4AlIr | PBE-GGA | relaxed

a = 7.9365 Å, b = 7.9365 Å, c = 5.9330 Å
α = 102.52°, β = 102.52°, γ = 112.86°
Fractional coordinates of all 12 atoms:
Ho 0.0594 0.7112 0.9323
Ho 0.2166 0.3581 0.6608
Ho 0.2888 0.9406 0.5677
Ho 0.3581 0.2166 0.1608
Ho 0.6419 0.7834 0.8392
Ho 0.7112 0.0594 0.4323
Ho 0.7834 0.6419 0.3392
Ho 0.9406 0.2888 0.0677
Al 0.3733 0.6267 0.2500
Al 0.6267 0.3733 0.7500
Ir 0.9998 0.0002 0.2500
Ir 0.0002 0.9998 0.7500

Results
Distance to the lowest polymorph of the same formula (meV/atom): 88
SG: No. 15
N(E_F) (states/eV/f.u.): 5.93
Total DFT energy (no corrections) (eV/f.u.): -33.73
Volume (A^3/atom): 26.397

=====

8.
HoAlIr | PBE-GGA | relaxed

a = 6.9721 Å, b = 4.1347 Å, c = 11.9588 Å
α = 90.00°, β = 90.61°, γ = 90.00°
Fractional coordinates of all 18 atoms:
Ho 0.0308 0.2500 0.1225
Ho 0.1524 0.2500 0.4179
Ho 0.4659 0.7500 0.7876
Ho 0.5341 0.2500 0.2124
Ho 0.8476 0.7500 0.5821
Ho 0.9692 0.7500 0.8775
Al 0.1370 0.2500 0.7010
Al 0.3592 0.7500 0.0419
Al 0.4951 0.7500 0.4169
Al 0.5049 0.2500 0.5831
Al 0.6408 0.2500 0.9581
Al 0.8630 0.7500 0.2990
Ir 0.2374 0.7500 0.2502
Ir 0.2688 0.7500 0.5882
Ir 0.2699 0.2500 0.9214
Ir 0.7301 0.7500 0.0786
Ir 0.7312 0.2500 0.4118
Ir 0.7626 0.2500 0.7498

Results
SG: No. 11
N(E_F) (states/eV/f.u.): 1.90
Total DFT energy (no corrections) (eV/f.u.): -20.03
Volume (A^3/atom): 19.151